# 1
MgCr2Hg | PBE | relaxed

Properties
Its space group is No. 225. The calculation puts the density at 7.58 g cm⁻³. The density of states at the Fermi level comes out at 1.21 states/eV/cell. As for the offset from the most stable computed form: 0.273 eV per atom. As for the formation energy: 0.480 eV per atom. The calculation puts the total energy at -19.22 eV for the cell shown.

Cell: 4.6709 4.6709 4.6709 Å, 60.00 60.00 60.00°
With the nearest neighbours (Å) after each atom.
Positions (direct):
Hg1 0.5000 0.5000 0.5000  8 Cr 2.86
Mg1 0.0000 0.0000 0.0000  8 Cr 2.86
Cr1 0.2500 0.2500 0.2500  4 Hg 2.86, 4 Mg 2.86
Cr2 0.7500 0.7500 0.7500  4 Hg 2.86, 4 Mg 2.86

# 2
MgCr2Hg | PBE | relaxed

Properties
Its space group is No. 12. The calculation puts the density at 8.80 g cm⁻³. The density of states at the Fermi level comes out at 3.13 states/eV/cell. As for the offset from the most stable computed form: 0.466 eV per atom. As for the formation energy: 0.672 eV per atom. The calculation puts the total energy at -18.45 eV for the cell shown.

Cell: 5.2130 5.2130 2.7010 Å, 83.67 83.67 119.93°
With the nearest neighbours (Å) after each atom.
Positions (direct):
Cr1 0.0000 0.0000 0.0000  4 Cr 2.61-2.70, 2 Mg 2.80, 2 Hg 2.80
Cr2 0.5000 0.5000 0.0000  4 Cr 2.61-2.70, 2 Hg 2.80, 2 Mg 2.80
Hg1 0.5000 0.0000 0.5000  2 Mg 2.61, 2 Hg 2.70, 4 Cr 2.80
Mg1 0.0000 0.5000 0.5000  2 Hg 2.61, 2 Mg 2.70, 4 Cr 2.80

# 3
MgNbCr2Hg | PBE | relaxed

Properties
Its space group is No. 123. The calculation puts the density at 5.99 g cm⁻³. The density of states at the Fermi level comes out at 4.44 states/eV/cell. As for the formation energy: 1.251 eV per atom. The calculation puts the total energy at -24.96 eV for the cell shown.

Cell: 4.6609 5.3836 4.6609 Å, 90.00 90.00 90.00°
With the nearest neighbours (Å) after each atom.
Positions (direct):
Mg1 0.0000 0.5000 0.0000  2 Nb 2.69
Cr1 0.0000 0.0000 0.5000  2 Nb 2.33
Cr2 0.5000 0.0000 0.0000  2 Nb 2.33
Hg1 0.5000 0.5000 0.5000  4 Mg 3.30, 8 Cr 3.56
Nb1 0.0000 0.0000 0.0000  4 Cr 2.33